# 1
A plane-wave DFT calculation with PBE-GGA was carried out for a geometry-optimized Ca2Y2Ta structure.

Lattice parameters (Å, degrees): 4.292 4.292 18.244 90.00 90.00 90.00
Positions (direct):
Ca 0.000 0.000 0.088
Ca 0.000 0.000 0.912
Ca 0.500 0.500 0.412
Ca 0.500 0.500 0.588
Y 0.000 0.500 0.250
Y 0.000 0.500 0.750
Y 0.500 0.000 0.250
Y 0.500 0.000 0.750
Ta 0.000 0.000 0.500
Ta 0.500 0.500 0.000

Calculated values
Energy relative to the elements ... 1.057 eV per atom
SG ... No. 139
Crystal system ... tetragonal

# 2
A plane-wave DFT calculation with PBE-GGA was carried out for a geometry-optimized Sr2ScTa structure.

Lattice parameters (Å, degrees): 4.652 4.666 11.140 90.00 90.00 90.00
Positions (direct):
Sr 0.000 0.000 0.227
Sr 0.000 0.000 0.773
Sr 0.500 0.500 0.227
Sr 0.500 0.500 0.773
Sc 0.000 0.500 0.500
Sc 0.500 0.000 0.500
Ta 0.000 0.500 0.000
Ta 0.500 0.000 0.000

Calculated values
Energy relative to the elements ... 0.855 eV per atom
SG ... No. 65
Crystal system ... orthorhombic

# 3
A plane-wave DFT calculation with PBE-GGA was carried out for a geometry-optimized Hf3TiN3 structure.

Lattice parameters (Å, degrees): 7.101 7.101 4.586 90.00 90.00 120.00
Positions (direct):
Hf 0.179 0.358 0.250
Hf 0.179 0.821 0.250
Hf 0.358 0.179 0.750
Hf 0.642 0.821 0.250
Hf 0.821 0.179 0.750
Hf 0.821 0.642 0.750
Ti 0.333 0.667 0.750
Ti 0.667 0.333 0.250
N 0.164 0.328 0.750
N 0.164 0.836 0.750
N 0.328 0.164 0.250
N 0.672 0.836 0.750
N 0.836 0.164 0.250
N 0.836 0.672 0.250

Calculated values
Energy relative to the elements, uncorrected ... -1.394 eV per atom
SG ... No. 194
Crystal system ... hexagonal

| no. | energy above the lowest structure with this stoichiometry (meV/atom) | N(E_F) (states/eV/cell) | VASP energy (eV per cell) |
| --- | --- | --- | --- |
| 1 | 185 | 12.7 | -46.99 |
| 2 | 319 | 14.0 | -36.26 |
| 3 | 0 | 8.6 | -144.99 |